Entry 1:
CaPr6Nd5: relaxed, PBE.

Calculated values
**Electronic total energy**: -4.52 eV per atom
**ΔH_f (0 K)**: 24 meV/atom
**Crystal system**: orthorhombic
**D(E_F)**: 19.287 states/eV/cell

Unit cell a=5.252 b=9.822 c=9.822 alpha=106.46 beta=105.53 gamma=105.53
Atoms (fractional coordinates):
Pr (0.252, 0.084, 0.421)
Pr (0.748, 0.579, 0.916)
Pr (0.243, 0.743, 0.743)
Pr (0.757, 0.257, 0.257)
Pr (0.748, 0.916, 0.579)
Pr (0.252, 0.421, 0.084)
Nd (0.500, 0.171, 0.829)
Nd (0.000, 0.333, 0.667)
Nd (0.500, 0.500, 0.500)
Nd (0.500, 0.829, 0.171)
Nd (0.000, 0.667, 0.333)
Ca (0.000, 0.000, 0.000)


Entry 2:
Na3In4Pb: relaxed, PBE.

Calculated values
**Relative energy among the computed polymorphs**: 0 meV per atom
**Electronic total energy**: -2.44 eV per atom
**ΔH_f (0 K)**: -111 meV/atom
**Crystal system**: orthorhombic
**D(E_F)**: 3.036 states/eV/cell

Unit cell a=4.965 b=4.832 c=9.606 alpha=104.59 beta=104.98 gamma=90.00
Atoms (fractional coordinates):
Na (0.000, 0.500, 0.000)
Na (0.126, 0.126, 0.252)
Na (0.874, 0.874, 0.748)
In (0.634, 0.635, 0.268)
In (0.753, 0.254, 0.506)
In (0.247, 0.746, 0.494)
In (0.366, 0.365, 0.732)
Pb (0.500, 0.000, 0.000)


Entry 3:
BiRuBr2: relaxed, PBE.

Calculated values
**Relative energy among the computed polymorphs**: 524 meV per atom
**Raw formation energy**: 0.71 eV per atom
**Electronic total energy**: -3.42 eV per atom
**Crystal system**: cubic
**D(E_F)**: 2.731 states/eV/cell

Unit cell a=5.075 b=5.075 c=5.075 alpha=60.00 beta=60.00 gamma=60.00
Site moments in Bohr magnetons follow the coordinates.
Atoms (fractional coordinates):
Br (0.250, 0.250, 0.250)  0.04
Br (0.750, 0.750, 0.750)  0.04
Bi (0.500, 0.500, 0.500)  -0.20
Ru (0.000, 0.000, 0.000)  1.79


Entry 4:
Hf3ZnMo2: relaxed, PBE.

Calculated values
**Electronic total energy**: -8.92 eV per atom
**ΔH_f (0 K)**: -117 meV/atom
**Crystal system**: orthorhombic
**D(E_F)**: 6.068 states/eV/cell

Unit cell a=3.403 b=4.689 c=7.278 alpha=108.79 beta=90.00 gamma=90.00
Atoms (fractional coordinates):
Hf (0.500, 0.828, 0.655)
Hf (0.500, 0.172, 0.345)
Hf (0.500, 0.500, 0.000)
Mo (0.000, 0.663, 0.326)
Mo (0.000, 0.337, 0.674)
Zn (0.000, 0.000, 0.000)


Entry 5:
Pm7Br12O: relaxed, PBE.

Calculated values
**Raw formation energy**: -1.78 eV per atom
**Electronic total energy**: -4.70 eV per atom
**Crystal system**: trigonal
**D(E_F)**: 2.930 states/eV/cell

Unit cell a=9.121 b=9.121 c=9.121 alpha=107.84 beta=107.84 gamma=107.84
Atoms (fractional coordinates):
Pm (0.105, 0.034, 0.303)
Pm (0.895, 0.966, 0.697)
Pm (0.303, 0.105, 0.034)
Pm (0.034, 0.303, 0.105)
Pm (0.697, 0.895, 0.966)
Pm (0.500, 0.500, 0.500)
Pm (0.966, 0.697, 0.895)
Br (0.078, 0.686, 0.226)
Br (0.150, 0.389, 0.473)
Br (0.686, 0.226, 0.078)
Br (0.473, 0.150, 0.389)
Br (0.389, 0.473, 0.150)
Br (0.226, 0.078, 0.686)
Br (0.314, 0.774, 0.922)
Br (0.527, 0.850, 0.611)
Br (0.611, 0.527, 0.850)
Br (0.774, 0.922, 0.314)
Br (0.922, 0.314, 0.774)
Br (0.850, 0.611, 0.527)
O (0.000, 0.000, 0.000)


Entry 6:
CaTl4CdPb: relaxed, PBE.

Calculated values
**Electronic total energy**: -2.35 eV per atom
**ΔH_f (0 K)**: -49 meV/atom
**Crystal system**: orthorhombic
**D(E_F)**: 10.500 states/eV/cell

Unit cell a=6.519 b=6.519 c=11.490 alpha=90.00 beta=90.00 gamma=117.69
Atoms (fractional coordinates):
Tl (0.822, 0.178, 0.497)
Tl (0.822, 0.178, 0.003)
Tl (0.843, 0.645, 0.750)
Tl (0.645, 0.843, 0.250)
Tl (0.178, 0.822, 0.997)
Tl (0.178, 0.822, 0.503)
Tl (0.157, 0.355, 0.250)
Tl (0.355, 0.157, 0.750)
Pb (0.500, 0.500, 0.500)
Pb (0.500, 0.500, 0.000)
Ca (0.346, 0.654, 0.750)
Ca (0.654, 0.346, 0.250)
Cd (0.141, 0.859, 0.250)
Cd (0.859, 0.141, 0.750)


Entry 7:
CdPbBr2: relaxed, PBE.

Calculated values
**Relative energy among the computed polymorphs**: 145 meV per atom
**Raw formation energy**: -0.39 eV per atom
**Electronic total energy**: -2.38 eV per atom
**Crystal system**: orthorhombic
**D(E_F)**: 0.248 states/eV/cell

Unit cell a=6.337 b=6.337 c=6.337 alpha=140.48 beta=121.01 gamma=73.34
Atoms (fractional coordinates):
Cd (0.750, 0.250, 0.500)
Pb (0.250, 0.750, 0.500)
Br (0.458, 0.458, 0.000)
Br (0.042, 0.042, 0.000)


Entry 8:
Na2SnHgCl6: relaxed, PBE.

Calculated values
**Raw formation energy**: -1.18 eV per atom
**Electronic total energy**: -2.98 eV per atom
**Crystal system**: trigonal
**D(E_F)**: 0.000 states/eV/cell

Unit cell a=7.076 b=7.076 c=7.572 alpha=62.14 beta=62.13 gamma=59.99
Atoms (fractional coordinates):
Na (0.518, 0.518, 0.447)
Na (0.017, 0.017, 0.949)
Cl (0.597, 0.221, 0.248)
Cl (0.709, 0.110, 0.759)
Cl (0.422, 0.709, 0.759)
Cl (0.221, 0.934, 0.248)
Cl (0.935, 0.597, 0.248)
Cl (0.110, 0.423, 0.759)
Sn (0.817, 0.817, 0.549)
Hg (0.317, 0.317, 0.050)